Record 1
Crystalline Cu5P at its relaxed geometry, computed with GGA-PBEsol.

Cell lengths 2.599, 4.827, 5.928 Å; angles 104.31, 90.00, 105.62 degrees
Sites, in units of the cell vectors:
Cu 0.004 0.008 0.001
Cu 0.669 0.338 0.332
Cu 0.329 0.659 0.672
Cu 0.390 0.779 0.276
Cu 0.052 0.103 0.606
P 0.723 0.447 0.947

Size of the total moment ... 0.0000 μB per atom
ΔH_f (0 K) ... 0.0288 eV per atom
SG ... Cm (8)

=====

Record 2
Crystalline La2AgOs at its relaxed geometry, computed with GGA-PBEsol.

Cell lengths 4.922, 4.922, 4.922 Å; angles 60.00, 60.00, 60.00 degrees
Sites, in units of the cell vectors:
Os 0.250 0.250 0.250
Ag 0.500 0.500 0.500
La 0.000 0.000 0.000
La 0.750 0.750 0.750

Size of the total moment ... 0.0000 μB per atom
ΔH_f (0 K) ... 0.1312 eV per atom
SG ... F-43m (216)

=====

Record 3
Crystalline InCu2Br at its relaxed geometry, computed with GGA-PBEsol.

Cell lengths 3.490, 3.490, 6.081 Å; angles 90.00, 90.00, 90.00 degrees
Sites, in units of the cell vectors:
Br 0.500 0.500 0.500
Cu 0.000 0.000 0.802
Cu 0.000 0.000 0.198
In 0.500 0.500 0.000

E_form (uncorrected) ... 0.236 eV per atom
Size of the total moment ... 0.0001 μB per atom
Energy relative to the lowest polymorph listed for this composition ... 2.76 kcal/mol of atoms
SG ... P4/mmm (123)

=====

Record 4
Crystalline CaTaIr2 at its relaxed geometry, computed with GGA-PBEsol.

Cell lengths 4.566, 4.566, 4.566 Å; angles 60.00, 60.00, 60.00 degrees
Sites, in units of the cell vectors:
Ca 0.000 0.000 0.000
Ir 0.250 0.250 0.250
Ir 0.750 0.750 0.750
Ta 0.500 0.500 0.500

Size of the total moment ... 0.0000 μB per atom
ΔH_f (0 K) ... -0.2114 eV per atom
Energy relative to the lowest polymorph listed for this composition ... 5.60 kcal/mol of atoms
SG ... Fm-3m (225)